Entry 1:
This record from Alexandria describes Ce3Zn8Au after structural relaxation. The functional is PBE.

Output
* VASP energy: -2.852 eV/atom
* V: 19.02 Å³ per atom
* formation enthalpy at 0 K: -0.246 eV per atom

```
Ce3Zn8Au
1.0
2.712 1.566 8.962
-2.712 1.566 8.962
0.000 -3.131 8.962
Ce Zn Au
3 8 1
Cartesian
0.000 0.000 0.000
0.000 0.000 3.440
0.000 0.000 16.773
0.000 -1.559 6.158
-1.350 0.780 6.158
-1.356 -0.783 10.675
0.000 0.000 8.411
1.350 0.780 6.158
1.356 -0.783 10.675
0.000 1.565 10.675
0.000 0.000 21.885
0.000 0.000 13.370
```

=====

Entry 2:
This record from Alexandria describes Ce2ZnAu3 after structural relaxation. The functional is PBE.

Output
* VASP energy: -4.474 eV/atom
* V: 22.29 Å³ per atom
* formation enthalpy at 0 K: -0.645 eV per atom

```
Ce2ZnAu3
1.0
3.469 0.000 0.000
0.000 4.701 0.000
0.000 0.000 8.200
Ce Zn Au
2 1 3
Cartesian
0.000 0.000 0.000
0.000 2.351 3.994
1.734 2.351 6.735
1.734 0.000 2.731
1.734 0.000 5.545
1.734 2.351 1.173
```

=====

Entry 3:
This record from Alexandria describes Ce2Zn5Au12 after structural relaxation. The functional is PBE.

Output
* VASP energy: -3.343 eV/atom
* V: 19.22 Å³ per atom
* formation enthalpy at 0 K: -0.313 eV per atom

```
Ce2Zn5Au12
1.0
4.710 2.719 4.752
-4.710 2.719 4.752
0.000 -5.439 4.752
Ce Zn Au
2 5 12
Cartesian
0.000 0.000 2.125
0.000 0.000 12.132
-2.355 -1.360 4.752
0.000 0.000 5.729
-2.355 1.360 9.505
0.000 2.719 4.752
0.000 0.000 8.527
0.000 -2.595 4.534
-2.248 1.298 4.534
-1.431 -2.478 7.128
-2.861 0.000 7.128
-2.248 -1.298 9.722
1.431 -2.478 7.128
-1.431 2.478 7.128
2.248 1.298 4.534
2.861 0.000 7.128
1.431 2.478 7.128
2.248 -1.298 9.722
0.000 2.595 9.722
```

=====

Entry 4:
This record from Alexandria describes CeZnAu6 after structural relaxation. The functional is PBE.

Output
* VASP energy: -3.632 eV/atom
* V: 20.99 Å³ per atom
* formation enthalpy at 0 K: -0.273 eV per atom

```
CeZnAu6
1.0
4.075 0.000 0.000
0.000 4.075 0.000
0.000 0.000 10.113
Ce Zn Au
1 1 6
Cartesian
0.000 0.000 0.000
0.000 0.000 5.057
0.000 2.038 3.329
0.000 2.038 6.784
2.038 0.000 3.329
2.038 0.000 6.784
2.038 2.038 1.342
2.038 2.038 8.771
```

=====

Entry 5:
This record from Alexandria describes CeZnAu3 after structural relaxation. The functional is PBE.

Output
* VASP energy: -3.924 eV/atom
* V: 20.62 Å³ per atom
* formation enthalpy at 0 K: -0.516 eV per atom

```
CeZnAu3
1.0
9.172 0.000 0.000
0.000 4.859 0.000
0.000 0.000 9.253
Ce Zn Au
4 4 12
Cartesian
2.204 1.215 0.048
2.382 3.644 4.674
6.791 1.215 4.579
6.968 3.644 9.205
0.907 1.215 6.150
3.680 3.644 1.523
5.493 1.215 7.730
8.266 3.644 3.104
0.747 1.215 3.532
0.939 3.644 7.870
1.057 3.644 1.514
3.529 1.215 6.141
3.647 1.215 3.243
3.839 3.644 8.158
5.333 1.215 1.095
5.526 3.644 6.010
5.643 3.644 3.112
8.116 1.215 7.739
8.233 1.215 1.383
8.425 3.644 5.722
```

=====

Entry 6:
This record from Alexandria describes Ce3ZnAu3 after structural relaxation. The functional is PBE.

Output
* VASP energy: -4.695 eV/atom
* V: 24.30 Å³ per atom
* formation enthalpy at 0 K: -0.565 eV per atom

```
Ce3ZnAu3
1.0
3.666 0.000 0.000
0.000 4.624 0.000
0.000 0.000 20.068
Ce Zn Au
6 2 6
Cartesian
0.000 0.000 0.000
0.000 0.000 7.578
0.000 2.312 3.735
1.833 0.000 13.769
1.833 2.312 10.034
1.833 2.312 17.612
0.000 2.312 15.156
1.833 0.000 5.122
0.000 0.000 10.821
0.000 0.000 16.606
0.000 2.312 12.564
1.833 0.000 2.530
1.833 2.312 0.787
1.833 2.312 6.572
```

=====

Which value of V does entry 5 give? 20.62 Å³ per atom